This record from the Alexandria database describes a geometry-optimized BaLi2LaIr structure. The functional is PBE.

The value obtained for the calculated formation energy is -0.3 eV/f.u. As for the density: 5.37 g/cm3.

Cell: 5.317 5.317 5.273 Å, 90.00 90.00 90.00°
Space group P4/mmm (No. 123)
Symmetry-distinct sites (fractional):
Ba 0.000 0.000 0.000 x1
Li 0.000 0.500 0.500 x2
La 0.500 0.500 0.000 x1
Ir 0.500 0.500 0.500 x1